Entry 1:
Crystalline Zr2Cu2Au at its relaxed geometry, computed with PBEsol.

```
data_Zr2Cu2Au
_chemical_formula_sum 'Zr4 Cu4 Au2'
_space_group_name_H-M_alt 'P 4/m b m'
_space_group_IT_number 127
_space_group_name_Hall '-P 4 2ab'
_cell_length_a 6.841
_cell_length_b 6.841
_cell_length_c 3.561
_cell_angle_alpha 90.00
_cell_angle_beta 90.00
_cell_angle_gamma 90.00
loop_
_atom_site_label
_atom_site_fract_x
_atom_site_fract_y
_atom_site_fract_z
Zr1 0.172 0.328 0.000
Cu1 0.126 0.626 0.500
Au1 0.000 0.000 0.500
```

energy relative to the elements: -0.317 eV per atom
crystal system: tetragonal
calculated total energy: -6.47 eV/atom
magnetic moment: 0.00 μB/cell

=====

Entry 2:
Crystalline DyAu at its relaxed geometry, computed with PBEsol.

```
data_DyAu
_chemical_formula_sum 'Dy1 Au1'
_space_group_name_H-M_alt 'P m -3 m'
_space_group_IT_number 221
_space_group_name_Hall '-P 4 2 3'
_cell_length_a 3.538
_cell_length_b 3.538
_cell_length_c 3.538
_cell_angle_alpha 90.00
_cell_angle_beta 90.00
_cell_angle_gamma 90.00
loop_
_atom_site_label
_atom_site_fract_x
_atom_site_fract_y
_atom_site_fract_z
Dy1 0.000 0.000 0.000
Au1 0.500 0.500 0.500
```

energy relative to the elements: -0.866 eV per atom
crystal system: cubic
calculated total energy: -5.32 eV/atom
magnetic moment: 0.00 μB/cell

=====

Entry 3:
Crystalline Dy14Au51 at its relaxed geometry, computed with PBEsol.

```
data_Dy14Au51
_chemical_formula_sum 'Dy14 Au51'
_space_group_name_H-M_alt 'P -6'
_space_group_IT_number 174
_cell_length_a 12.5361
_cell_length_b 12.5361
_cell_length_c 9.0902
_cell_angle_alpha 90.00
_cell_angle_beta 90.00
_cell_angle_gamma 120.00
loop_
_space_group_symop_operation_xyz
'x,y,z'
'-x+y,-x,-z'
'-y,x-y,z'
'x,y,-z'
'-x+y,-x,z'
'-y,x-y,-z'
loop_
_atom_site_label
_atom_site_fract_x
_atom_site_fract_y
_atom_site_fract_z
Dy1 0.0000 0.0000 0.1979
Dy2 0.1134 0.7130 0.5000
Dy3 0.1405 0.4629 0.0000
Dy4 0.3849 0.1110 0.5000
Dy5 0.4661 0.3245 0.0000
Au1 0.0210 0.8845 0.5000
Au2 0.0593 0.8176 0.0000
Au3 0.0752 0.2629 0.2732
Au4 0.1023 0.6576 0.1635
Au5 0.1176 0.4914 0.3476
Au6 0.2332 0.0564 0.0000
Au7 0.2726 0.1908 0.2645
Au8 0.3333 0.6667 0.1845
Au9 0.3333 0.6667 0.5000
Au10 0.4404 0.1023 0.1624
Au11 0.4972 0.3811 0.3487
Au12 0.6667 0.3333 0.1859
Au13 0.6667 0.3333 0.5000
```

energy relative to the elements: -0.645 eV per atom
crystal system: hexagonal
calculated total energy: -4.80 eV/atom
magnetic moment: 0.00 μB/cell

=====

Entry 4:
Crystalline DyAu2 at its relaxed geometry, computed with PBEsol.

```
data_DyAu2
_chemical_formula_sum 'Dy2 Au4'
_space_group_name_H-M_alt 'I 4/m m m'
_space_group_IT_number 139
_space_group_name_Hall '-I 4 2'
_cell_length_a 3.673
_cell_length_b 3.673
_cell_length_c 8.903
_cell_angle_alpha 90.00
_cell_angle_beta 90.00
_cell_angle_gamma 90.00
loop_
_atom_site_label
_atom_site_fract_x
_atom_site_fract_y
_atom_site_fract_z
Dy1 0.000 0.000 0.000
Au1 0.000 0.000 0.334
```

energy relative to the elements: -0.878 eV per atom
crystal system: tetragonal
calculated total energy: -5.15 eV/atom
magnetic moment: 0.00 μB/cell